The following is a GGA+U calculation of a relaxed AcMnGaO4 crystal, from the Alexandria database.

a = 5.6400 Å, b = 5.7939 Å, c = 6.6664 Å
α = 90.00°, β = 106.05°, γ = 90.00°
Last column: nearest neighbours and their distance in Å.
Fractional positions:
Ac 0.2403 0.2500 0.4492  2 O 2.39-2.42
Ac 0.7597 0.7500 0.5508  2 O 2.39-2.42
Mn 0.3598 0.2500 0.9922  5 O 2.14-2.33
Mn 0.6402 0.7500 0.0078  5 O 2.14-2.33
Ga 0.2172 0.7500 0.1646  4 O 1.81-1.92
Ga 0.7828 0.2500 0.8354  4 O 1.81-1.92
O 0.0225 0.2500 0.0810  1 Ga 1.81
O 0.0937 0.7500 0.3952  1 Ga 1.85
O 0.4736 0.5202 0.2208  1 Ga 1.92, 1 Mn 2.16
O 0.4736 0.9798 0.2208  1 Ga 1.92, 1 Mn 2.16
O 0.5264 0.0202 0.7792  1 Ga 1.92, 1 Mn 2.16
O 0.5264 0.4798 0.7792  1 Ga 1.92, 1 Mn 2.16
O 0.9063 0.2500 0.6048  1 Ga 1.85
O 0.9775 0.7500 0.9190  1 Ga 1.81

Density of states at the Fermi level in states/eV/cell: 0.000
Total energy in eV per atom: -7.1640
Total magnetization in μB per cell: 10.0
Calculated density in g/cm³: 6.594